Computed, not measured: a relaxed YNiSe2 crystal at the PBE-GGA level of DFT.

a = 3.589 Å, b = 3.593 Å, c = 14.123 Å
α = 90.00°, β = 90.00°, γ = 90.00°
Fractional coordinates of all 8 atoms:
Y: 0.000 0.000 0.000
Y: 0.500 0.500 0.500
Ni: 0.000 0.500 0.680
Ni: 0.500 0.000 0.180
Se: 0.000 0.000 0.411
Se: 0.000 0.500 0.164
Se: 0.500 0.000 0.664
Se: 0.500 0.500 0.911

E_form (uncorrected)   -0.94 eV per atom